<1>
NaPuTlAu | PBE-GGA | optimized geometry

a = 7.3744 Å, b = 7.3744 Å, c = 7.3744 Å
α = 90.00°, β = 90.00°, γ = 90.00°
Space group F-43m (No. 216)
Asymmetric unit:
Na  0.0000  0.0000  0.0000 x4
Pu  0.0000  0.0000  0.5000 x4
Tl  0.2500  0.2500  0.7500 x4
Au  0.2500  0.2500  0.2500 x4

Summary:
size of the total moment	1.46	μB per atom
calculated volume	25.06	Å³/atom
mass density	11.1	g/cm3

***

<2>
NaPuTlAu | PBE-GGA | optimized geometry

a = 3.5338 Å, b = 3.5338 Å, c = 8.1607 Å
α = 90.00°, β = 90.00°, γ = 90.00°
Space group P4mm (No. 99)
Asymmetric unit:
Na  0.0000  0.0000  0.0000 x1
Pu  0.0000  0.0000  0.5484 x1
Tl  0.5000  0.5000  0.2714 x1
Au  0.5000  0.5000  0.7695 x1

Summary:
size of the total moment	1.46	μB per atom
calculated volume	25.48	Å³/atom
mass density	10.9	g/cm3

***

The least stable of them is <1>.